*P*
First-principles (PBE-GGA) data for a relaxed CuGeOs3 crystal, as listed in Alexandria via LeMat-Bulk. Values from VASP.

Space-group type: Pm-3m (221)
ρ: 13.23 g/cm³

Quantum ESPRESSO input file:
```
&SYSTEM
  ibrav = 0, nat = 5, ntyp = 3
/
ATOMIC_SPECIES
Ge 72.64 Ge.upf
Os 190.23 Os.upf
Cu 63.55 Cu.upf
CELL_PARAMETERS angstrom
-1.563 2.852 -3.053
2.252 -2.171 -3.181
-3.519 -2.655 -0.679
ATOMIC_POSITIONS crystal
Ge 0.500 0.500 0.500
Os 0.000 0.500 0.000
Os 0.000 0.000 0.500
Os 0.500 0.000 0.000
Cu 0.000 0.000 0.000
```

*Q*
First-principles (PBE-GGA) data for a relaxed CuGeOs3 crystal, as listed in Alexandria via LeMat-Bulk. Values from VASP.

Space-group type: Pm-3m (221)
ρ: 12.79 g/cm³

Quantum ESPRESSO input file:
```
&SYSTEM
  ibrav = 0, nat = 5, ntyp = 3
/
ATOMIC_SPECIES
Ge 72.64 Ge.upf
Os 190.23 Os.upf
Cu 63.55 Cu.upf
CELL_PARAMETERS angstrom
-4.401 -0.083 0.987
0.451 -4.171 1.658
0.882 1.717 4.078
ATOMIC_POSITIONS crystal
Ge 0.000 0.000 0.000
Os 0.000 0.500 0.000
Os 0.000 0.000 0.500
Os 0.500 0.000 0.000
Cu 0.500 0.500 0.500
```

Least stable = *P*